Entry from Alexandria via LeMat-Bulk: a relaxed K2LaBr5 crystal (PBE).

Output
Excess energy over the best structure of this formula in the dataset ... 0.0 meV/atom
Energy ... -3.842 eV/atom
DOS(E_F) ... 0.0 states/eV/cell
Formation energy from raw total energies ... -1906 meV/atom
Symmetry ... Pnma (62)

Unit cell a=8.6407 b=9.3543 c=13.6896 alpha=90.00 beta=90.00 gamma=90.00
Atoms (fractional coordinates):
K 0.9522 0.0033 0.8270
K 0.0478 0.9967 0.1730
K 0.4522 0.9967 0.6730
K 0.0478 0.5033 0.1730
K 0.5478 0.0033 0.3270
K 0.9522 0.4967 0.8270
K 0.5478 0.4967 0.3270
K 0.4522 0.5033 0.6730
La 0.9244 0.7500 0.5061
La 0.0756 0.2500 0.4939
La 0.4244 0.2500 0.9939
La 0.5756 0.7500 0.0061
Br 0.1321 0.7500 0.6800
Br 0.8679 0.2500 0.3200
Br 0.6321 0.2500 0.8200
Br 0.3679 0.7500 0.1800
Br 0.8360 0.0438 0.5810
Br 0.1640 0.9562 0.4190
Br 0.3360 0.9562 0.9190
Br 0.1640 0.5438 0.4190
Br 0.6640 0.0438 0.0810
Br 0.8360 0.4562 0.5810
Br 0.6640 0.4562 0.0810
Br 0.3360 0.5438 0.9190
Br 0.5744 0.7500 0.5080
Br 0.4256 0.2500 0.4920
Br 0.0744 0.2500 0.9920
Br 0.9256 0.7500 0.0080
Br 0.6693 0.7500 0.7943
Br 0.3307 0.2500 0.2057
Br 0.1693 0.2500 0.7057
Br 0.8307 0.7500 0.2943

---

Entry from Alexandria via LeMat-Bulk: a relaxed K3LaBr crystal (PBE).

Output
Energy ... -1.516 eV/atom
DOS(E_F) ... 29.2 states/eV/cell
Formation energy from raw total energies ... 462 meV/atom
Symmetry ... Pm-3m (221)

Unit cell a=7.4540 b=7.4540 c=7.4540 alpha=90.00 beta=90.00 gamma=90.00
Each line ends with the local moment (μB).
Atoms (fractional coordinates):
K 0.0000 0.5000 0.0000  0.04
K 0.0000 0.0000 0.5000  0.04
K 0.5000 0.0000 0.0000  0.03
Br 0.5000 0.5000 0.5000  0.00
La 0.0000 0.0000 0.0000  0.99

---

- Which of these has the highest DOS(E_F)?
  K3LaBr

---

- Which formula does entry 2 have?
  K3LaBr

---

- Look up the DOS(E_F) of the second one.
  29.2 states/eV/cell